# TbTh2Ni2

A relaxed structure of TbTh2Ni2 (PBE, Alexandria via LeMat-Bulk).

```
TbTh2Ni2
1.0
-0.439 -1.755 -3.282
-6.106 -3.942 2.924
-4.822 5.690 -2.399
Ni Th Tb
4 4 2
Cartesian
-4.399 -1.756 1.527 Ni
-8.359 0.089 1.069 Ni
-2.569 1.659 -0.544 Ni
-6.529 3.504 -1.001 Ni
-3.060 -1.253 -1.061 Th
-6.926 -2.264 -0.003 Th
-8.307 1.245 -1.696 Th
-4.441 2.257 -2.753 Th
0.000 0.000 0.000 Tb
-5.464 0.874 0.263 Tb
```

Summary:
Energy above the most stable polymorph in this dataset: 0 meV per atom
Space-group type: P4/mbm, No. 127
DOS at the Fermi energy: 1.133 states/eV per atom
Energy relative to the elements: -158.4 kJ/mol of formula units
Volume: 23.0 A^3/atom